# 1
Material: K2TlBr
Method: DFT, PBE
State: relaxed

Summary:
Formation energy without anion corrections = -0.59 eV/atom
D(E_F) = 2.36 states/eV/cell

a = 7.661 Å, b = 7.661 Å, c = 7.661 Å
α = 142.59°, β = 142.59°, γ = 53.95°
Fractional positions:
K 0.000 0.000 0.000
K 0.750 0.250 0.500
Tl 0.250 0.750 0.500
Br 0.500 0.500 0.000

# 2
Material: K2TlBr6
Method: DFT, PBE
State: relaxed

Summary:
Formation energy without anion corrections = -0.92 eV/atom
D(E_F) = 8.67 states/eV/cell

a = 8.092 Å, b = 7.678 Å, c = 12.463 Å
α = 90.00°, β = 121.65°, γ = 90.00°
Fractional positions:
K 0.222 0.073 0.233
K 0.222 0.427 0.733
K 0.778 0.573 0.267
K 0.778 0.927 0.767
Tl 0.500 0.000 0.000
Tl 0.500 0.500 0.500
Br 0.164 0.184 0.937
Br 0.164 0.316 0.437
Br 0.312 0.691 0.999
Br 0.312 0.809 0.499
Br 0.340 0.603 0.251
Br 0.340 0.897 0.751
Br 0.660 0.103 0.249
Br 0.660 0.397 0.749
Br 0.688 0.191 0.501
Br 0.688 0.309 0.001
Br 0.836 0.684 0.563
Br 0.836 0.816 0.063

# 3
Material: K5TlBr6
Method: DFT, PBE
State: relaxed

Summary:
Formation energy without anion corrections = -1.60 eV/atom
D(E_F) = 0.00 states/eV/cell

a = 8.208 Å, b = 8.208 Å, c = 8.207 Å
α = 99.60°, β = 99.60°, γ = 119.98°
Fractional positions:
K 0.000 0.000 0.000
K 0.167 0.833 0.500
K 0.335 0.665 0.000
K 0.665 0.335 0.000
K 0.833 0.167 0.500
Tl 0.500 0.500 0.500
Br 0.080 0.416 0.248
Br 0.247 0.247 0.751
Br 0.416 0.080 0.248
Br 0.584 0.920 0.752
Br 0.753 0.753 0.249
Br 0.920 0.584 0.752

- Which of these has the lowest formation energy without anion corrections?
  K5TlBr6

- What is the formula in the second record?
  K2TlBr6

- Number 2 is which compound?
  K2TlBr6

- The highest formation energy without anion corrections belongs to which entry?
  K2TlBr